Record 1
Entry from Alexandria via LeMat-Bulk: an optimized crystal structure of TlBMo3 (PBE-GGA).

Summary:
The calculation puts the formation energy at 9.27 kcal/mol of atoms. As for the relative energy among the computed polymorphs: 0 kJ/mol of formula units. The calculation puts the density of states at the Fermi level at 3.72 states/eV per cell.

a b c (Å): 4.2860 4.2860 4.2860
angles (deg): 90.00 90.00 90.00
Sites, in units of the cell vectors:
Tl  0.0000  0.0000  0.0000
B  0.5000  0.5000  0.5000
Mo  0.0000  0.5000  0.5000
Mo  0.5000  0.0000  0.5000
Mo  0.5000  0.5000  0.0000

Record 2
Entry from Alexandria via LeMat-Bulk: an optimized crystal structure of Tl3BMo (PBE-GGA).

Summary:
The calculation puts the formation energy at 35.88 kcal/mol of atoms. As for the relative energy among the computed polymorphs: 95 kJ/mol of formula units. The calculation puts the density of states at the Fermi level at 2.54 states/eV per cell.

a b c (Å): 5.4019 5.4019 5.4019
angles (deg): 90.00 90.00 90.00
Sites, in units of the cell vectors:
Tl  0.0000  0.0000  0.5000
Tl  0.0000  0.5000  0.0000
Tl  0.5000  0.0000  0.0000
B  0.5000  0.5000  0.5000
Mo  0.0000  0.0000  0.0000

Record 3
Entry from Alexandria via LeMat-Bulk: an optimized crystal structure of Tl2BMo (PBE-GGA).

Summary:
The calculation puts the formation energy at 37.69 kcal/mol of atoms. As for the relative energy among the computed polymorphs: 213 kJ/mol of formula units. The calculation puts the density of states at the Fermi level at 2.68 states/eV per cell.

a b c (Å): 4.8684 4.8684 4.8684
angles (deg): 60.00 60.00 60.00
Sites, in units of the cell vectors:
Tl  0.2500  0.2500  0.2500
Tl  0.7500  0.7500  0.7500
B  0.0000  0.0000  0.0000
Mo  0.5000  0.5000  0.5000

Record 4
Entry from Alexandria via LeMat-Bulk: an optimized crystal structure of Tl2BMo (PBE-GGA).

Summary:
The calculation puts the formation energy at 25.00 kcal/mol of atoms. As for the relative energy among the computed polymorphs: 0 kJ/mol of formula units. The calculation puts the density of states at the Fermi level at 3.51 states/eV per cell.

a b c (Å): 6.8020 6.8020 6.8020
angles (deg): 95.67 95.67 143.36
Sites, in units of the cell vectors:
Tl  0.3750  0.2301  0.3551
Tl  0.7699  0.1250  0.1449
Tl  0.8750  0.0199  0.6449
Tl  0.9801  0.6250  0.8551
B  0.0000  0.0000  0.0000
B  0.7500  0.2500  0.5000
Mo  0.2500  0.7500  0.5000
Mo  0.5000  0.5000  0.0000

Record 5
Entry from Alexandria via LeMat-Bulk: an optimized crystal structure of TlBMo3 (PBE-GGA).

Summary:
The calculation puts the formation energy at 82.41 kcal/mol of atoms. As for the relative energy among the computed polymorphs: 1530 kJ/mol of formula units. The calculation puts the density of states at the Fermi level at 9.78 states/eV per cell.

a b c (Å): 4.9627 4.9627 4.9627
angles (deg): 90.00 90.00 90.00
Sites, in units of the cell vectors:
Tl  0.0000  0.0000  0.0000
B  0.5000  0.5000  0.5000
Mo  0.0000  0.0000  0.5000
Mo  0.0000  0.5000  0.0000
Mo  0.5000  0.0000  0.0000

Record 6
Entry from Alexandria via LeMat-Bulk: an optimized crystal structure of TlVBMo2 (PBE-GGA).

Summary:
The calculation puts the formation energy at 76.80 kcal/mol of atoms. The calculation puts the density of states at the Fermi level at 10.29 states/eV per cell.

a b c (Å): 4.9840 4.9840 4.7767
angles (deg): 90.00 90.00 90.00
Sites, in units of the cell vectors:
Tl  0.0000  0.0000  0.0000
V  0.0000  0.0000  0.5000
B  0.5000  0.5000  0.5000
Mo  0.0000  0.5000  0.0000
Mo  0.5000  0.0000  0.0000